[1]
Material: LaSc3Fe
Method: DFT, PBEsol
State: relaxed

a b c (Å): 4.9073 4.9073 4.9073
angles (deg): 90.00 90.00 90.00
Positions (direct):
La 0.5000 0.5000 0.5000
Sc 0.0000 0.5000 0.0000
Sc 0.5000 0.0000 0.0000
Sc 0.0000 0.0000 0.5000
Fe 0.0000 0.0000 0.0000

Properties
Electronic total energy   -6.839 eV per atom
Total moment   0.000 μB per cell
Density of states at the Fermi level   5.35 states/eV per cell
Energy relative to the elements   -1.38 kJ/mol of atoms
Calculated volume   118.2 Å³ per cell


[2]
Material: LaScFe2
Method: DFT, PBEsol
State: relaxed

a b c (Å): 3.2728 4.6288 4.6288
angles (deg): 90.00 90.00 90.00
Positions (direct):
Fe 0.0000 0.5000 0.0000
Fe 0.0000 0.0000 0.5000
La 0.5000 0.5000 0.5000
Sc 0.5000 0.0000 0.0000

Properties
Electronic total energy   -7.230 eV per atom
Total moment   2.655 μB per cell
Density of states at the Fermi level   5.80 states/eV per cell
Energy relative to the elements   23.16 kJ/mol of atoms
Calculated volume   70.1 Å³ per cell


[3]
Material: La4FeSe
Method: DFT, PBEsol
State: relaxed

a b c (Å): 6.1746 6.1746 6.1746
angles (deg): 60.00 60.00 60.00
Positions (direct):
La 0.8752 0.3749 0.3749
La 0.3749 0.3749 0.8752
La 0.3749 0.3749 0.3749
La 0.3749 0.8752 0.3749
Se 0.7500 0.7500 0.7500
Fe 0.0000 0.0000 0.0000

Properties
Electronic total energy   -5.245 eV per atom
Total moment   2.233 μB per cell
Formation energy without anion corrections   43.9 kJ per mole of atoms
Density of states at the Fermi level   8.55 states/eV per cell
Calculated volume   166.5 Å³ per cell


[4]
Material: LaFeSe
Method: DFT, PBEsol
State: relaxed

a b c (Å): 3.9573 4.1446 4.1446
angles (deg): 120.00 90.00 90.00
Positions (direct):
Fe 0.5000 0.0000 0.0000
La 0.0000 0.3333 0.6667
Se 0.5000 0.6667 0.3333

Properties
Electronic total energy   -6.836 eV per atom
Total moment   1.167 μB per cell
Formation energy without anion corrections   -75.5 kJ per mole of atoms
Density of states at the Fermi level   3.81 states/eV per cell
Calculated volume   58.9 Å³ per cell


[5]
Material: LaFe2Se
Method: DFT, PBEsol
State: relaxed

a b c (Å): 4.0501 4.0501 4.5752
angles (deg): 90.00 90.00 90.00
Positions (direct):
Se 0.0000 0.0000 0.5000
Fe 0.0000 0.5000 0.0000
Fe 0.5000 0.0000 0.0000
La 0.5000 0.5000 0.5000

Properties
Electronic total energy   -6.675 eV per atom
Total moment   5.088 μB per cell
Formation energy without anion corrections   10.2 kJ per mole of atoms
Density of states at the Fermi level   4.09 states/eV per cell
Calculated volume   75.1 Å³ per cell


[6]
Material: LaFe2Si
Method: DFT, PBEsol
State: relaxed

a b c (Å): 3.2328 4.2595 4.2454
angles (deg): 90.00 90.00 90.00
Positions (direct):
Si 0.5000 0.0000 0.5000
Fe 0.0000 0.5000 0.5000
Fe 0.0000 0.0000 0.0000
La 0.5000 0.5000 0.0000

Properties
Electronic total energy   -7.070 eV per atom
Total moment   0.002 μB per cell
Formation energy without anion corrections   17.9 kJ per mole of atoms
Density of states at the Fermi level   4.36 states/eV per cell
Calculated volume   58.5 Å³ per cell


[7]
Material: LaFe2Si
Method: DFT, PBEsol
State: relaxed

a b c (Å): 3.4249 4.1087 4.9947
angles (deg): 90.00 106.94 90.00
Positions (direct):
Fe 0.7601 0.5000 0.1356
Fe 0.1116 0.0000 0.0310
Si 0.1283 0.5000 0.8162
La 0.5000 0.0000 0.5172

Properties
Electronic total energy   -7.292 eV per atom
Total moment   3.039 μB per cell
Formation energy without anion corrections   -3.5 kJ per mole of atoms
Density of states at the Fermi level   2.92 states/eV per cell
Calculated volume   67.2 Å³ per cell


[8]
Material: LaFe2Si
Method: DFT, PBEsol
State: relaxed

a b c (Å): 4.2325 4.5453 4.5453
angles (deg): 67.36 62.25 62.25
Positions (direct):
La 0.0000 0.5000 0.5000
Si 0.5000 0.0000 0.0000
Fe 0.1836 0.8164 0.8164
Fe 0.8164 0.1836 0.1836

Properties
Electronic total energy   -7.206 eV per atom
Total moment   3.676 μB per cell
Formation energy without anion corrections   4.8 kJ per mole of atoms
Density of states at the Fermi level   3.40 states/eV per cell
Calculated volume   66.9 Å³ per cell


[9]
Material: LaFeSi
Method: DFT, PBEsol
State: relaxed

a b c (Å): 4.6987 4.6987 4.6987
angles (deg): 60.00 60.00 60.00
Positions (direct):
Fe 0.5000 0.5000 0.5000
La 0.2500 0.2500 0.2500
Si 0.0000 0.0000 0.0000

Properties
Electronic total energy   -5.787 eV per atom
Total moment   3.027 μB per cell
Formation energy without anion corrections   86.7 kJ per mole of atoms
Density of states at the Fermi level   7.34 states/eV per cell
Calculated volume   73.4 Å³ per cell


[10]
Material: LaFe8Si5
Method: DFT, PBEsol
State: relaxed

a b c (Å): 7.7833 7.9043 7.7833
angles (deg): 60.51 90.00 119.49
Positions (direct):
Fe 0.7013 0.0000 0.4411
Fe 0.5614 0.3483 0.9386
Fe 0.2013 0.0000 0.0589
Fe 0.0589 0.0000 0.7987
Fe 0.4386 0.6517 0.0614
Fe 0.7132 0.6517 0.5614
Fe 0.9386 0.6517 0.7868
Fe 0.7868 0.3483 0.7132
Fe 0.2868 0.3483 0.4386
Fe 0.2132 0.6517 0.2868
Fe 0.2987 0.0000 0.5589
Fe 0.9411 0.0000 0.2013
Fe 0.5589 0.0000 0.7013
Fe 0.0614 0.3483 0.2132
Fe 0.4411 0.0000 0.2987
Fe 0.7987 0.0000 0.9411
Si 0.4459 0.2573 0.6886
Si 0.0541 0.7427 0.4459
Si 0.1886 0.7427 0.9459
Si 0.5000 0.0000 0.0000
Si 0.9459 0.2573 0.5541
Si 0.6886 0.7427 0.8114
Si 0.5541 0.7427 0.3114
Si 0.0000 0.0000 0.5000
Si 0.8114 0.2573 0.0541
Si 0.3114 0.2573 0.1886
La 0.7500 0.5000 0.2500
La 0.2500 0.5000 0.7500

Properties
Electronic total energy   -8.060 eV per atom
Total moment   17.273 μB per cell
Formation energy without anion corrections   -48.6 kJ per mole of atoms
Density of states at the Fermi level   25.74 states/eV per cell
Calculated volume   343.7 Å³ per cell


[11]
Material: LaFe2Si
Method: DFT, PBEsol
State: relaxed

a b c (Å): 3.9034 3.9034 5.7059
angles (deg): 70.00 70.00 60.00
Positions (direct):
Si 0.7008 0.7008 0.8977
Fe 0.3078 0.3078 0.0767
Fe 0.9932 0.9932 0.0205
La 0.5025 0.5025 0.4924

Properties
Electronic total energy   -7.635 eV per atom
Total moment   1.682 μB per cell
Formation energy without anion corrections   -36.7 kJ per mole of atoms
Density of states at the Fermi level   3.45 states/eV per cell
Calculated volume   69.2 Å³ per cell


[12]
Material: LaFe2Si
Method: DFT, PBEsol
State: relaxed

a b c (Å): 4.3485 4.3485 4.3485
angles (deg): 60.00 60.00 60.00
Positions (direct):
Si 0.5000 0.5000 0.5000
Fe 0.2500 0.2500 0.2500
Fe 0.7500 0.7500 0.7500
La 0.0000 0.0000 0.0000

Properties
Electronic total energy   -7.178 eV per atom
Total moment   0.469 μB per cell
Formation energy without anion corrections   7.5 kJ per mole of atoms
Density of states at the Fermi level   5.15 states/eV per cell
Calculated volume   58.1 Å³ per cell


The highest density of states at the Fermi level belongs to which entry?
LaFe8Si5


Copy entry 9 word for word.
Material: LaFeSi
Method: DFT, PBEsol
State: relaxed

a b c (Å): 4.6987 4.6987 4.6987
angles (deg): 60.00 60.00 60.00
Positions (direct):
Fe 0.5000 0.5000 0.5000
La 0.2500 0.2500 0.2500
Si 0.0000 0.0000 0.0000

Properties
Electronic total energy   -5.787 eV per atom
Total moment   3.027 μB per cell
Formation energy without anion corrections   86.7 kJ per mole of atoms
Density of states at the Fermi level   7.34 states/eV per cell
Calculated volume   73.4 Å³ per cell